A relaxed K3Pu3PaSe8 crystal, computed with PBE.

Results
space group = R-3m, No. 166
raw formation energy = -1.476 eV/atom
total magnetic moment = 16.00 μB per cell
N(E_F) = 35.0 states/eV per cell

Cell lengths 9.1801, 9.1801, 9.1801 Å; angles 55.17, 55.17, 55.17 degrees
Fractional positions:
K (0.0000, 0.5000, 0.5000)
K (0.5000, 0.0000, 0.5000)
K (0.5000, 0.5000, 0.0000)
Pu (0.0000, 0.0000, 0.5000)
Pu (0.0000, 0.5000, 0.0000)
Pu (0.5000, 0.0000, 0.0000)
Pa (0.5000, 0.5000, 0.5000)
Se (0.2343, 0.2343, 0.2343)
Se (0.2445, 0.7277, 0.7277)
Se (0.2723, 0.2723, 0.7555)
Se (0.2723, 0.7555, 0.2723)
Se (0.7277, 0.2445, 0.7277)
Se (0.7277, 0.7277, 0.2445)
Se (0.7555, 0.2723, 0.2723)
Se (0.7657, 0.7657, 0.7657)